(1)
MgBiH6Rh2: optimized geometry, GGA-PBE.

a b c (Å): 7.4016 12.3515 4.9663
angles (deg): 90.00 106.60 90.00
With the nearest neighbours (Å) after each atom.
Space group C2/c (No. 15)
Asymmetric unit:
Mg (0.0000, 0.2143, 0.2500) (multiplicity 4)  4 H 1.96-2.08
Bi (0.0000, 0.3877, 0.7500) (multiplicity 4)  4 H 2.68-2.76, 4 Rh 2.82-2.83
H (0.0618, 0.1002, 0.5370) (multiplicity 8)  1 Rh 1.61
H (0.1895, 0.0187, 0.8778) (multiplicity 8)  2 Rh 1.76, 1 H 1.96
H (0.2320, 0.3022, 0.2166) (multiplicity 8)  1 Rh 1.65
Rh (0.2132, 0.4191, 0.3674) (multiplicity 8)  4 H 1.61-1.76

Summary:
crystal system: monoclinic
uncorrected energy: -163.9 eV/cell

=====

(2)
MgBiHSe2: optimized geometry, GGA-PBE.

a b c (Å): 5.5612 5.5612 3.9895
angles (deg): 90.00 90.00 90.00
With the nearest neighbours (Å) after each atom.
Space group P4/mmm (No. 123)
Asymmetric unit:
Mg (0.0000, 0.0000, 0.0000) (multiplicity 1)  8 Se 3.42
Bi (0.5000, 0.5000, 0.5000) (multiplicity 1)  2 H 1.99
H (0.5000, 0.5000, 0.0000) (multiplicity 1)  2 Bi 1.99
Se (0.0000, 0.5000, 0.5000) (multiplicity 2)  2 Bi 2.78

Summary:
crystal system: tetragonal
uncorrected energy: -16.0 eV/cell